ZrHCl2: optimized geometry, PBE.

Computed properties:
For the final energy, the calculation gives -69.9 eV/cell. As for the density of states at the Fermi level: 1.113 states/eV/atom. The density comes out at 4.28 Mg/m³.

Cell lengths 6.3281, 6.3281, 6.3281 Å; angles 90.00, 90.00, 90.00 degrees
Space group Fm-3m (No. 225)
One atom of each set of equivalent atoms:
Zr 0.0000 0.0000 0.0000 x4
H 0.0000 0.0000 0.5000 x4
Cl 0.2500 0.2500 0.2500 x8